{
  "formula": "TaZn2AgBr",
  "functional": "PBE-GGA",
  "state": "optimized geometry",
  "sg": "No. 123",
  "e_form_raw_ev_per_atom": 1.119,
  "dft_energy_ev_per_cell": -13.3,
  "lattice_angstrom": [[5.242, 0.000, 0.000], [0.000, 5.242, 0.000], [0.000, 0.000, 5.271]],
  "species": ["Ta", "Zn", "Zn", "Ag", "Br"],
  "frac_coords": [[0.000, 0.000, 0.000], [0.000, 0.500, 0.000], [0.500, 0.000, 0.000], [0.000, 0.000, 0.500], [0.500, 0.500, 0.500]]
}



{
  "formula": "RbCa2Tl6",
  "functional": "PBE-GGA",
  "state": "optimized geometry",
  "delta_e_f_mev_per_atom": -172,
  "sg": "No. 12",
  "dft_energy_ev_per_cell": -20.7,
  "lattice_angstrom": [[8.207, -4.644, 0.000], [8.207, 4.644, 0.000], [-0.954, 0.000, 3.850]],
  "species": ["Rb", "Ca", "Ca", "Tl", "Tl", "Tl", "Tl", "Tl", "Tl"],
  "frac_coords": [[0.000, 0.000, 0.000], [0.360, 0.360, 0.861], [0.640, 0.640, 0.139], [0.001, 0.640, 0.320], [0.330, 0.670, 0.500], [0.360, 0.999, 0.680], [0.640, 0.001, 0.320], [0.670, 0.330, 0.500], [0.999, 0.360, 0.680]]
}



{
  "formula": "SrSi2F8",
  "functional": "PBE-GGA",
  "state": "optimized geometry",
  "sg": "No. 12",
  "e_form_raw_ev_per_atom": -3.100,
  "dft_energy_ev_per_cell": -61.6,
  "lattice_angstrom": [[4.943, -2.746, 0.000], [4.943, 2.746, 0.000], [-4.209, 0.000, 5.924]],
  "species": ["Sr", "Si", "Si", "F", "F", "F", "F", "F", "F", "F", "F"],
  "frac_coords": [[0.000, 0.000, 0.000], [0.457, 0.457, 0.622], [0.543, 0.543, 0.378], [0.183, 0.680, 0.229], [0.253, 0.253, 0.390], [0.320, 0.817, 0.771], [0.376, 0.376, 0.774], [0.624, 0.624, 0.226], [0.680, 0.183, 0.229], [0.747, 0.747, 0.610], [0.817, 0.320, 0.771]]
}



{
  "formula": "Pm3Pr2Nd5",
  "functional": "PBE-GGA",
  "state": "optimized geometry",
  "delta_e_f_mev_per_atom": 173,
  "de_polymorph_ev_per_atom": 0.000,
  "sg": "No. 15",
  "dft_energy_ev_per_cell": -91.8,
  "lattice_angstrom": [[5.541, -7.952, 0.000], [5.541, 7.952, 0.000], [-5.537, 0.000, 8.102]],
  "species": ["Pm", "Pm", "Pm", "Pm", "Pm", "Pm", "Pr", "Pr", "Pr", "Pr", "Nd", "Nd", "Nd", "Nd", "Nd", "Nd", "Nd", "Nd", "Nd", "Nd"],
  "frac_coords": [[0.021, 0.979, 0.750], [0.220, 0.467, 0.452], [0.467, 0.220, 0.952], [0.533, 0.780, 0.048], [0.780, 0.533, 0.548], [0.979, 0.021, 0.250], [0.018, 0.269, 0.051], [0.269, 0.018, 0.551], [0.731, 0.982, 0.449], [0.982, 0.731, 0.949], [0.140, 0.387, 0.775], [0.229, 0.771, 0.750], [0.274, 0.726, 0.250], [0.387, 0.140, 0.275], [0.473, 0.527, 0.250], [0.527, 0.473, 0.750], [0.613, 0.860, 0.725], [0.726, 0.274, 0.750], [0.771, 0.229, 0.250], [0.860, 0.613, 0.225]]
}



{
  "formula": "Pm2PuN4",
  "functional": "PBE-GGA",
  "state": "optimized geometry",
  "sg": "No. 61",
  "e_form_raw_ev_per_atom": -1.177,
  "dft_energy_ev_per_cell": -261.5,
  "lattice_angstrom": [[5.938, 0.000, 0.000], [0.000, 6.003, 0.000], [0.000, 0.000, 12.336]],
  "species": ["Pm", "Pm", "Pm", "Pm", "Pm", "Pm", "Pm", "Pm", "Pu", "Pu", "Pu", "Pu", "N", "N", "N", "N", "N", "N", "N", "N", "N", "N", "N", "N", "N", "N", "N", "N"],
  "frac_coords": [[0.010, 0.050, 0.152], [0.010, 0.450, 0.652], [0.490, 0.550, 0.152], [0.490, 0.950, 0.652], [0.510, 0.050, 0.348], [0.510, 0.450, 0.848], [0.990, 0.550, 0.348], [0.990, 0.950, 0.848], [0.000, 0.000, 0.500], [0.000, 0.500, 0.000], [0.500, 0.000, 0.000], [0.500, 0.500, 0.500], [0.096, 0.037, 0.666], [0.096, 0.463, 0.166], [0.212, 0.194, 0.968], [0.212, 0.306, 0.468], [0.288, 0.694, 0.968], [0.288, 0.806, 0.468], [0.404, 0.537, 0.666], [0.404, 0.963, 0.166], [0.596, 0.037, 0.834], [0.596, 0.463, 0.334], [0.712, 0.194, 0.532], [0.712, 0.306, 0.032], [0.788, 0.694, 0.532], [0.788, 0.806, 0.032], [0.904, 0.537, 0.834], [0.904, 0.963, 0.334]]
}



{
  "formula": "ZnMoSe2N",
  "functional": "PBE-GGA",
  "state": "optimized geometry",
  "de_polymorph_ev_per_atom": 1.038,
  "sg": "No. 123",
  "e_form_raw_ev_per_atom": 1.240,
  "dft_energy_ev_per_cell": -21.2,
  "lattice_angstrom": [[4.970, 0.000, 0.000], [0.000, 4.970, 0.000], [0.000, 0.000, 3.534]],
  "species": ["Zn", "Mo", "Se", "Se", "N"],
  "frac_coords": [[0.000, 0.000, 0.000], [0.500, 0.500, 0.500], [0.000, 0.500, 0.000], [0.500, 0.000, 0.000], [0.000, 0.000, 0.500]]
}